LaSm2PaSb4 PBE-GGA optimized geometry; ρ = 7.57 g/cm³; final energy = -0.2224 hartree per atom; E_form (uncorrected) = -97.3 kJ/mol of atoms; symmetry = I-4m2, No. 119
1.0
-3.165 3.165 6.333
3.165 -3.165 6.333
3.165 3.165 -6.333
La Sm Pa Sb
1 2 1 4
Direct
0.000 0.000 0.000
0.500 0.500 0.000
0.750 0.250 0.500
0.250 0.750 0.500
0.006 0.506 0.500
0.253 0.253 0.000
0.494 0.994 0.500
0.747 0.747 0.000

Rb6Ac PBE-GGA optimized geometry; ρ = 1.78 g/cm³; final energy = -0.0278 hartree per atom; symmetry = Im-3m, No. 229
1.0
-5.567 5.567 5.567
5.567 -5.567 5.567
5.567 5.567 -5.567
Rb Ac
6 1
Direct
0.250 0.500 0.750
0.250 0.750 0.500
0.500 0.250 0.750
0.500 0.750 0.250
0.750 0.250 0.500
0.750 0.500 0.250
0.000 0.000 0.000

AlSbTe PBE-GGA optimized geometry; ρ = 5.75 g/cm³; final energy = -0.1356 hartree per atom; E_form (uncorrected) = -2.0 kJ/mol of atoms; energy above the most stable polymorph in this dataset = 120 meV per atom; symmetry = P3m1, No. 156
1.0
4.105 0.000 0.000
-2.052 3.555 0.000
0.000 0.000 5.467
Al Sb Te
1 1 1
Direct
0.000 0.000 0.000
0.667 0.333 0.288
0.333 0.667 0.708

MnCu2Ni2 PBE-GGA optimized geometry; ρ = 8.48 g/cm³; final energy = -0.1974 hartree per atom; energy above the most stable polymorph in this dataset = 0 meV per atom; symmetry = P4/mbm, No. 127
1.0
6.813 0.000 0.000
0.000 6.813 0.000
0.000 0.000 2.528
Mn Cu Ni
2 4 4
Direct
0.000 0.000 0.000
0.500 0.500 0.000
0.124 0.376 0.000
0.376 0.876 0.000
0.624 0.124 0.000
0.876 0.624 0.000
0.175 0.675 0.500
0.325 0.175 0.500
0.675 0.825 0.500
0.825 0.325 0.500

no.,DOS at the Fermi energy (states/eV per atom)
1,0.926
2,1.424
3,0.629
4,1.752